[1]
VASP calculation (GGA-PBE) on an optimized crystal structure of Ca4TlGa.

DFT formation energy in eV per atom: -0.21

Structure (CIF):
```
data_Ca4TlGa
_chemical_formula_sum 'Ca4 Tl1 Ga1'
_symmetry_space_group_name_H-M 'P 4/m m m'
_symmetry_Int_Tables_number 123
_symmetry_space_group_name_Hall '-P 4 2'
_cell_length_a 5.288
_cell_length_b 5.288
_cell_length_c 7.562
_cell_angle_alpha 90.00
_cell_angle_beta 90.00
_cell_angle_gamma 90.00
loop_
_atom_site_label
_atom_site_type_symbol
_atom_site_fract_x
_atom_site_fract_y
_atom_site_fract_z
Ca1 Ca 0.000 0.500 0.240
Tl1 Tl 0.000 0.000 0.500
Ga1 Ga 0.500 0.500 0.000
```

[2]
VASP calculation (GGA-PBE) on an optimized crystal structure of Ca5Tl4Ga.

DFT formation energy in eV per atom: -0.44

Structure (CIF):
```
data_Ca5Tl4Ga
_chemical_formula_sum 'Ca5 Tl4 Ga1'
_symmetry_space_group_name_H-M 'P 4/m m m'
_symmetry_Int_Tables_number 123
_symmetry_space_group_name_Hall '-P 4 2'
_cell_length_a 3.854
_cell_length_b 3.854
_cell_length_c 19.266
_cell_angle_alpha 90.00
_cell_angle_beta 90.00
_cell_angle_gamma 90.00
loop_
_atom_site_label
_atom_site_type_symbol
_atom_site_fract_x
_atom_site_fract_y
_atom_site_fract_z
Ca1 Ca 0.000 0.000 0.000
Ca2 Ca 0.000 0.000 0.205
Ca3 Ca 0.000 0.000 0.409
Tl1 Tl 0.500 0.500 0.102
Tl2 Tl 0.500 0.500 0.307
Ga1 Ga 0.500 0.500 0.500
```

[3]
VASP calculation (GGA-PBE) on an optimized crystal structure of Ca2TlGa2.

DFT formation energy in eV per atom: -0.37

Structure (CIF):
```
data_Ca2TlGa2
_chemical_formula_sum 'Ca4 Tl2 Ga4'
_symmetry_space_group_name_H-M 'P 4/m b m'
_symmetry_Int_Tables_number 127
_symmetry_space_group_name_Hall '-P 4 2ab'
_cell_length_a 8.047
_cell_length_b 8.047
_cell_length_c 4.009
_cell_angle_alpha 90.00
_cell_angle_beta 90.00
_cell_angle_gamma 90.00
loop_
_atom_site_label
_atom_site_type_symbol
_atom_site_fract_x
_atom_site_fract_y
_atom_site_fract_z
Ca1 Ca 0.181 0.319 0.000
Tl1 Tl 0.000 0.000 0.500
Ga1 Ga 0.114 0.614 0.500
```

[4]
VASP calculation (GGA-PBE) on an optimized crystal structure of Ca6TlGa.

DFT formation energy in eV per atom: -0.22

Structure (CIF):
```
data_Ca6TlGa
_chemical_formula_sum 'Ca12 Tl2 Ga2'
_symmetry_space_group_name_H-M 'I 4/m m m'
_symmetry_Int_Tables_number 139
_symmetry_space_group_name_Hall '-I 4 2'
_cell_length_a 5.425
_cell_length_b 5.425
_cell_length_c 18.790
_cell_angle_alpha 90.00
_cell_angle_beta 90.00
_cell_angle_gamma 90.00
loop_
_atom_site_label
_atom_site_type_symbol
_atom_site_fract_x
_atom_site_fract_y
_atom_site_fract_z
Ca1 Ca 0.000 0.000 0.250
Ca2 Ca 0.000 0.500 0.097
Tl1 Tl 0.000 0.000 0.000
Ga1 Ga 0.000 0.000 0.500
```